Compound: BaPaMnO5
Source: the Alexandria database
Functional: PBE with a Hubbard U
Structure: optimized geometry

Its total moment is 4.00 μB/f.u. Its total energy is -8.226 eV/atom.

The space group is C2/c (No. 15) and the conventional cell measures 6.980, 10.240 and 8.097 Å, with angles of 90.00, 109.94 and 90.00 degrees. The distinct sites, in fractional coordinates, are Ba at (0.000, 0.169, 0.250), Pa at (0.000, 0.500, 0.000), Mn at (0.000, 0.177, 0.750), O at (0.000, 0.428, 0.250), O at (0.072, 0.298, 0.597) and O at (0.176, 0.053, 0.913).